The following is a DFT calculation (PBE) of crystalline Mg2AgCl at its relaxed geometry.

The value obtained for the uncorrected formation energy is -0.22 eV per atom. For the theoretical density, the calculation gives 3.80 g/cm³. Its raw total energy is -0.16075 Ry/atom.

It has space group I4/mmm (No. 139), with a = 4.487 Å, b = 4.487 Å, c = 8.328 Å, α = 90.00°, β = 90.00° and γ = 90.00°. Symmetry generates all atoms from Mg at (0.000, 0.500, 0.250), Ag at (0.000, 0.000, 0.000) and Cl at (0.000, 0.000, 0.500).

=====

The following is a DFT calculation (PBE) of crystalline MgAgCl2 at its relaxed geometry.

The value obtained for the uncorrected formation energy is -0.70 eV per atom. For the theoretical density, the calculation gives 3.50 g/cm³. Its raw total energy is -0.20125 Ry/atom.

It has space group Imm2 (No. 44), with a = 3.334 Å, b = 6.213 Å, c = 9.309 Å, α = 90.00°, β = 90.00° and γ = 90.00°. Symmetry generates all atoms from Mg at (0.000, 0.000, 0.000), Ag at (0.000, 0.500, 0.754), Cl at (0.000, 0.000, 0.473) and Cl at (0.000, 0.500, 0.318).

=====

The following is a DFT calculation (PBE) of crystalline Mg2AgCl at its relaxed geometry.

The value obtained for the uncorrected formation energy is -0.38 eV per atom. For the theoretical density, the calculation gives 3.51 g/cm³. Its raw total energy is -0.17319 Ry/atom.

It has space group I-42d (No. 122), with a = 7.138 Å, b = 7.138 Å, c = 7.136 Å, α = 90.00°, β = 90.00° and γ = 90.00°. Symmetry generates all atoms from Mg at (0.240, 0.250, 0.125), Ag at (0.000, 0.000, 0.500) and Cl at (0.000, 0.000, 0.000).